Entry 1:
Compound: SrRhCl2
Source: Alexandria
Functional: PBE
Structure: optimized geometry

Computed properties:
Size of the total moment, μB per formula unit: 1.02
ΔE to the lowest computed polymorph, meV/atom: 376

Lattice parameters (Å, degrees): 3.903 3.903 6.523 90.00 90.00 108.44
Sites, in units of the cell vectors:
Sr 0.500 0.500 0.750
Rh 0.500 0.500 0.250
Cl 0.000 0.000 0.012
Cl 0.000 0.000 0.488

---

Entry 2:
Compound: Ac2NdCu2Se6
Source: Alexandria
Functional: PBE
Structure: optimized geometry

Computed properties:
Calculated total energy, eV/atom: -4.90
Size of the total moment, μB per formula unit: 0.00

Lattice parameters (Å, degrees): 7.454 7.454 8.495 63.98 63.98 60.00
Sites, in units of the cell vectors:
Ac 0.799 0.799 0.603
Ac 0.201 0.201 0.397
Nd 0.000 0.000 0.000
Cu 0.437 0.437 0.688
Cu 0.563 0.563 0.312
Se 0.748 0.748 0.289
Se 0.216 0.748 0.289
Se 0.748 0.216 0.289
Se 0.252 0.784 0.711
Se 0.784 0.252 0.711
Se 0.252 0.252 0.711

---

Entry 3:
Compound: HfMg6
Source: Alexandria
Functional: PBE
Structure: optimized geometry

Computed properties:
Energy relative to the elements, meV/atom: 1191.8
Size of the total moment, μB per formula unit: 0.00

Lattice parameters (Å, degrees): 6.553 6.553 6.553 109.47 109.47 109.47
Sites, in units of the cell vectors:
Hf 0.000 0.000 0.000
Mg 0.250 0.750 0.500
Mg 0.500 0.750 0.250
Mg 0.250 0.500 0.750
Mg 0.750 0.250 0.500
Mg 0.500 0.250 0.750
Mg 0.750 0.500 0.250

---

Entry 4:
Compound: Sr6P3F
Source: Alexandria
Functional: PBE
Structure: optimized geometry

Computed properties:
Calculated total energy, eV/atom: -4.13
Size of the total moment, μB per formula unit: 1.56

Lattice parameters (Å, degrees): 7.220 9.515 9.515 102.55 90.00 90.00
Sites, in units of the cell vectors:
Sr 0.190 0.686 0.640
Sr 0.690 0.640 0.686
Sr 0.191 0.431 0.890
Sr 0.691 0.890 0.431
Sr 0.176 0.041 0.959
Sr 0.671 0.221 0.779
Sr 0.171 0.779 0.221
Sr 0.676 0.959 0.041
Sr 0.191 0.110 0.569
Sr 0.691 0.569 0.110
Sr 0.190 0.360 0.314
Sr 0.690 0.314 0.360
P 0.469 0.931 0.716
P 0.969 0.716 0.931
P 0.408 0.389 0.611
P 0.908 0.611 0.389
P 0.969 0.069 0.284
P 0.469 0.284 0.069
F 0.026 0.194 0.806
F 0.526 0.806 0.194

---

Entry 5:
Compound: HoTm2Tl
Source: Alexandria
Functional: PBE
Structure: optimized geometry

Computed properties:
Energy relative to the elements, meV/atom: 5.7
Size of the total moment, μB per formula unit: 1.26
ΔE to the lowest computed polymorph, meV/atom: 169

Lattice parameters (Å, degrees): 5.410 5.410 5.410 60.00 60.00 60.00
Sites, in units of the cell vectors:
Tl 0.500 0.500 0.500
Tm 0.250 0.250 0.250
Tm 0.750 0.750 0.750
Ho 0.000 0.000 0.000

---

Entry 6:
Compound: Mn4Pb
Source: Alexandria
Functional: PBE
Structure: optimized geometry

Computed properties:
Energy relative to the elements, meV/atom: 1581.3
Size of the total moment, μB per formula unit: 16.94
ΔE to the lowest computed polymorph, meV/atom: 1142

Lattice parameters (Å, degrees): 5.111 5.111 5.111 90.00 90.00 90.00
Sites, in units of the cell vectors:
Pb 0.500 0.500 0.500
Mn 0.000 0.000 0.000
Mn 0.500 0.000 0.500
Mn 0.000 0.500 0.500
Mn 0.500 0.500 0.000

---

Entry 7:
Compound: Si3GeW
Source: Alexandria
Functional: PBE
Structure: optimized geometry

Computed properties:
Size of the total moment, μB per formula unit: 0.00
ΔE to the lowest computed polymorph, meV/atom: 966

Lattice parameters (Å, degrees): 4.572 4.572 4.572 90.00 90.00 90.00
Sites, in units of the cell vectors:
Ge 0.000 0.000 0.000
Si 0.000 0.500 0.000
Si 0.000 0.000 0.500
Si 0.500 0.000 0.000
W 0.500 0.500 0.500

---

Entry 8:
Compound: Tb7PmSm12
Source: Alexandria
Functional: PBE
Structure: optimized geometry

Computed properties:
Energy relative to the elements, meV/atom: 161.1
Size of the total moment, μB per formula unit: 0.00
ΔE to the lowest computed polymorph, meV/atom: 0

Lattice parameters (Å, degrees): 9.389 9.389 9.389 107.80 107.80 107.80
Sites, in units of the cell vectors:
Tb 0.105 0.679 0.991
Tb 0.321 0.009 0.895
Tb 0.009 0.895 0.321
Tb 0.500 0.500 0.500
Tb 0.991 0.105 0.679
Tb 0.679 0.991 0.105
Tb 0.895 0.321 0.009
Pm 0.000 0.000 0.000
Sm 0.776 0.329 0.623
Sm 0.671 0.377 0.224
Sm 0.407 0.049 0.297
Sm 0.951 0.703 0.593
Sm 0.377 0.224 0.671
Sm 0.703 0.593 0.951
Sm 0.297 0.407 0.049
Sm 0.623 0.776 0.329
Sm 0.049 0.297 0.407
Sm 0.593 0.951 0.703
Sm 0.329 0.623 0.776
Sm 0.224 0.671 0.377

---

Entry 9:
Compound: Os4NO2
Source: Alexandria
Functional: PBE
Structure: optimized geometry

Computed properties:
Calculated total energy, eV/atom: -7.95
Size of the total moment, μB per formula unit: 0.00

Lattice parameters (Å, degrees): 4.071 4.071 5.884 69.76 69.76 90.00
Sites, in units of the cell vectors:
Os 0.796 0.796 0.409
Os 0.204 0.204 0.591
Os 0.000 0.500 0.000
Os 0.500 0.000 0.000
O 0.607 0.607 0.787
O 0.393 0.393 0.213
N 0.000 0.000 0.000

---

Entry 10:
Compound: PmEr3Cd
Source: Alexandria
Functional: PBE
Structure: optimized geometry

Computed properties:
Energy relative to the elements, meV/atom: -104.8
Size of the total moment, μB per formula unit: 0.01
ΔE to the lowest computed polymorph, meV/atom: 0

Lattice parameters (Å, degrees): 3.656 6.725 12.539 86.63 90.02 74.22
Sites, in units of the cell vectors:
Pm 0.234 0.532 0.753
Pm 0.766 0.468 0.247
Er 0.146 0.708 0.448
Er 0.366 0.268 0.022
Er 0.035 0.929 0.188
Er 0.854 0.292 0.552
Er 0.965 0.071 0.812
Er 0.634 0.732 0.978
Cd 0.553 0.894 0.626
Cd 0.447 0.106 0.374

---

Entry 11:
Compound: CrPd2S2
Source: Alexandria
Functional: PBE
Structure: optimized geometry

Computed properties:
Calculated total energy, eV/atom: -5.84
Size of the total moment, μB per formula unit: 0.00

Lattice parameters (Å, degrees): 5.804 5.804 4.531 90.00 90.00 90.00
Sites, in units of the cell vectors:
Cr 0.000 0.000 0.000
Cr 0.500 0.500 0.000
S 0.351 0.851 0.000
S 0.851 0.649 0.000
S 0.649 0.149 0.000
S 0.149 0.351 0.000
Pd 0.289 0.789 0.500
Pd 0.789 0.711 0.500
Pd 0.711 0.211 0.500
Pd 0.211 0.289 0.500

---

Entry 12:
Compound: HoTm4Ni2
Source: Alexandria
Functional: PBE
Structure: optimized geometry

Computed properties:
Energy relative to the elements, meV/atom: -183.5
Size of the total moment, μB per formula unit: 0.00
ΔE to the lowest computed polymorph, meV/atom: 0

Lattice parameters (Å, degrees): 6.263 7.477 7.781 112.31 90.00 90.00
Sites, in units of the cell vectors:
Ho 0.250 0.848 0.974
Ho 0.750 0.152 0.026
Tm 0.503 0.409 0.767
Tm 0.250 0.252 0.344
Tm 0.750 0.748 0.656
Tm 0.997 0.409 0.767
Tm 0.750 0.026 0.388
Tm 0.003 0.591 0.233
Tm 0.497 0.591 0.233
Tm 0.250 0.974 0.612
Ni 0.250 0.256 0.992
Ni 0.750 0.744 0.008
Ni 0.750 0.382 0.416
Ni 0.250 0.618 0.584

---

Entry 13:
Compound: Ac3Tb2Y6
Source: Alexandria
Functional: PBE
Structure: optimized geometry

Computed properties:
Energy relative to the elements, meV/atom: 93.5
Size of the total moment, μB per formula unit: 0.00

Lattice parameters (Å, degrees): 6.816 6.322 26.260 54.01 83.85 62.90
Sites, in units of the cell vectors:
Ac 0.919 0.004 0.696
Ac 0.353 0.196 0.749
Ac 0.794 0.375 0.802
Ac 0.206 0.625 0.198
Ac 0.081 0.996 0.304
Ac 0.647 0.804 0.251
Tb 0.244 0.995 0.022
Tb 0.820 0.376 0.522
Tb 0.756 0.005 0.978
Tb 0.180 0.624 0.478
Y 0.275 0.688 0.937
Y 0.286 0.389 0.857
Y 0.789 0.674 0.900
Y 0.076 0.326 0.401
Y 0.608 0.236 0.438
Y 0.565 0.979 0.362
Y 0.725 0.312 0.063
Y 0.714 0.611 0.143
Y 0.211 0.326 0.100
Y 0.924 0.674 0.599
Y 0.392 0.764 0.562
Y 0.435 0.021 0.638

---

Entry 14:
Compound: NdSm2Mg
Source: Alexandria
Functional: PBE
Structure: optimized geometry

Computed properties:
Energy relative to the elements, meV/atom: 5.2
Size of the total moment, μB per formula unit: 0.01
ΔE to the lowest computed polymorph, meV/atom: 42

Lattice parameters (Å, degrees): 5.028 4.999 4.999 90.00 90.00 90.00
Sites, in units of the cell vectors:
Mg 0.500 0.000 0.000
Nd 0.500 0.500 0.500
Sm 0.000 0.000 0.500
Sm 0.000 0.500 0.000

---

Entry 15:
Compound: Ac3Pr2Hg2
Source: Alexandria
Functional: PBE
Structure: optimized geometry

Computed properties:
Energy relative to the elements, meV/atom: -178.1
Size of the total moment, μB per formula unit: 0.01

Lattice parameters (Å, degrees): 3.910 3.886 16.979 90.00 83.39 90.00
Sites, in units of the cell vectors:
Ac 0.873 0.000 0.254
Ac 0.000 0.000 0.000
Ac 0.127 0.000 0.746
Pr 0.706 0.500 0.588
Pr 0.294 0.500 0.412
Hg 0.564 0.500 0.872
Hg 0.436 0.500 0.128

---

Entry 16:
Compound: Pm4Nd2Pb3N2
Source: Alexandria
Functional: PBE
Structure: optimized geometry

Computed properties:
Calculated total energy, eV/atom: -5.98
Size of the total moment, μB per formula unit: 0.00

Lattice parameters (Å, degrees): 4.872 4.872 13.534 100.37 100.37 90.00
Sites, in units of the cell vectors:
Pm 0.416 0.916 0.832
Pm 0.916 0.416 0.832
Pm 0.084 0.584 0.168
Pm 0.584 0.084 0.168
Nd 0.308 0.308 0.616
Nd 0.692 0.692 0.384
Pb 0.000 0.000 0.000
Pb 0.178 0.178 0.356
Pb 0.822 0.822 0.644
N 0.397 0.397 0.795
N 0.603 0.603 0.205

---

Entry 17:
Compound: SiRh3
Source: Alexandria
Functional: PBE
Structure: optimized geometry

Computed properties:
Calculated total energy, eV/atom: -7.22
Size of the total moment, μB per formula unit: 0.00

Lattice parameters (Å, degrees): 4.537 4.537 2.772 90.00 90.00 106.51
Sites, in units of the cell vectors:
Rh 0.000 0.500 0.500
Rh 0.500 0.000 0.500
Rh 0.500 0.500 0.000
Si 0.000 0.000 0.000

---

Entry 18:
Compound: Pm2PrTm
Source: Alexandria
Functional: PBE
Structure: optimized geometry

Computed properties:
Energy relative to the elements, meV/atom: 111.8
Size of the total moment, μB per formula unit: 0.00
ΔE to the lowest computed polymorph, meV/atom: 96

Lattice parameters (Å, degrees): 3.755 5.963 7.005 115.19 105.55 90.00
Sites, in units of the cell vectors:
Pm 0.002 0.002 0.004
Pm 0.762 0.262 0.524
Pr 0.238 0.738 0.475
Tm 0.499 0.499 0.997

---

Entry 19:
Compound: AcTmCdGe
Source: Alexandria
Functional: PBE
Structure: optimized geometry

Computed properties:
Energy relative to the elements, meV/atom: -371.5
Size of the total moment, μB per formula unit: 0.00

Lattice parameters (Å, degrees): 5.375 5.375 5.375 60.00 60.00 60.00
Sites, in units of the cell vectors:
Ac 0.500 0.500 0.500
Tm 0.000 0.000 0.000
Ge 0.250 0.250 0.250
Cd 0.750 0.750 0.750

---

Entry 20:
Compound: MnCr2Ir
Source: Alexandria
Functional: PBE
Structure: optimized geometry

Computed properties:
Energy relative to the elements, meV/atom: -21.1
Size of the total moment, μB per formula unit: 0.51

Lattice parameters (Å, degrees): 4.567 4.567 4.567 132.57 132.57 69.33
Sites, in units of the cell vectors:
Cr 0.000 0.000 0.000
Cr 0.250 0.750 0.500
Ir 0.500 0.500 0.000
Mn 0.750 0.250 0.500

---

Entry 21:
Compound: Tb3Nd8Sm2
Source: Alexandria
Functional: PBE
Structure: optimized geometry

Computed properties:
Energy relative to the elements, meV/atom: 162.1
Size of the total moment, μB per formula unit: 0.00
ΔE to the lowest computed polymorph, meV/atom: 0

Lattice parameters (Å, degrees): 6.165 11.891 8.956 131.59 72.55 90.00
Sites, in units of the cell vectors:
Tb 0.500 0.000 0.000
Tb 0.000 0.265 0.000
Tb 0.000 0.735 0.000
Nd 0.761 0.417 0.835
Nd 0.239 0.583 0.165
Nd 0.091 0.859 0.719
Nd 0.909 0.141 0.281
Nd 0.340 0.923 0.329
Nd 0.340 0.406 0.329
Nd 0.660 0.594 0.671
Nd 0.660 0.077 0.671
Sm 0.658 0.693 0.386
Sm 0.342 0.307 0.614

---

Entry 22:
Compound: As2IrCl
Source: Alexandria
Functional: PBE
Structure: optimized geometry

Computed properties:
Size of the total moment, μB per formula unit: 0.24
ΔE to the lowest computed polymorph, meV/atom: 287

Lattice parameters (Å, degrees): 3.137 3.137 7.491 90.00 90.00 90.00
Sites, in units of the cell vectors:
As 0.000 0.000 0.954
As 0.000 0.000 0.546
Ir 0.500 0.500 0.750
Cl 0.500 0.500 0.250

---

Entry 23:
Compound: HgSbPd6
Source: Alexandria
Functional: PBE
Structure: optimized geometry

Computed properties:
Size of the total moment, μB per formula unit: 0.00
ΔE to the lowest computed polymorph, meV/atom: 0

Lattice parameters (Å, degrees): 4.061 4.061 8.066 90.00 90.00 90.00
Sites, in units of the cell vectors:
Hg 0.000 0.000 0.000
Sb 0.000 0.000 0.500
Pd 0.500 0.500 0.000
Pd 0.500 0.500 0.500
Pd 0.500 0.000 0.256
Pd 0.500 0.000 0.744
Pd 0.000 0.500 0.256
Pd 0.000 0.500 0.744

---

Entry 24:
Compound: Tm4Pt2Rh
Source: Alexandria
Functional: PBE
Structure: optimized geometry

Computed properties:
Energy relative to the elements, meV/atom: -1076.5
Size of the total moment, μB per formula unit: 0.00

Lattice parameters (Å, degrees): 4.813 4.813 8.337 73.22 73.22 60.00
Sites, in units of the cell vectors:
Tm 0.875 0.875 0.374
Tm 0.125 0.125 0.626
Tm 0.625 0.625 0.124
Tm 0.375 0.375 0.876
Pt 0.751 0.751 0.748
Pt 0.249 0.249 0.252
Rh 0.000 0.000 0.000